<a>
The following is a DFT calculation (PBE) of a geometry-optimized Dy3Zn4 structure.

```
Dy3Zn4
1.0
8.279 0.000 0.000
-4.139 7.170 0.000
0.000 0.000 5.203
Dy Zn
6 8
Direct
0.079 0.798 0.250
0.202 0.281 0.250
0.281 0.079 0.750
0.719 0.921 0.250
0.798 0.719 0.750
0.921 0.202 0.750
0.120 0.628 0.750
0.333 0.667 0.250
0.372 0.492 0.750
0.492 0.120 0.250
0.508 0.880 0.750
0.628 0.508 0.250
0.667 0.333 0.750
0.880 0.372 0.250
```

SG: No. 176
V, Å³ per atom: 22.07

<b>
The following is a DFT calculation (PBE) of a geometry-optimized Dy3Zn4 structure.

```
Dy3Zn4
1.0
8.796 0.000 0.000
-4.398 7.618 0.000
0.000 0.000 4.574
Dy Zn
6 8
Direct
0.101 0.440 0.250
0.340 0.899 0.250
0.440 0.340 0.750
0.560 0.660 0.250
0.660 0.101 0.750
0.899 0.560 0.750
0.037 0.203 0.750
0.167 0.963 0.750
0.203 0.167 0.250
0.333 0.667 0.750
0.667 0.333 0.250
0.797 0.833 0.750
0.833 0.037 0.250
0.963 0.797 0.250
```

SG: No. 176
V, Å³ per atom: 21.89

Quick look at relative energies in kJ/mol of atoms: <a> 10.0; <b> 0.0.

<a>
The following is a DFT calculation (PBE) of a geometry-optimized Dy2Zr structure.

```
Dy2Zr
1.0
0.000 6.067 6.067
6.067 0.000 6.067
6.067 6.067 0.000
Dy Zr
4 2
Direct
0.000 0.000 0.000
0.000 0.000 0.500
0.000 0.500 0.000
0.500 0.000 0.000
0.125 0.125 0.125
0.875 0.875 0.875
```

SG: No. 227
V, Å³ per atom: 74.43

<b>
The following is a DFT calculation (PBE) of a geometry-optimized Dy2Zr structure.

```
Dy2Zr
1.0
0.000 4.424 4.424
4.424 0.000 4.424
4.424 4.424 0.000
Dy Zr
4 2
Direct
0.000 0.000 0.000
0.000 0.000 0.500
0.000 0.500 0.000
0.500 0.000 0.000
0.375 0.375 0.375
0.625 0.625 0.625
```

SG: No. 227
V, Å³ per atom: 28.86

Quick look at relative energies in kJ/mol of atoms: <a> 184.3; <b> 0.0.

<a>
The following is a DFT calculation (PBE) of a geometry-optimized Dy3Zr4 structure.

```
Dy3Zr4
1.0
8.915 0.000 0.000
-4.457 7.720 0.000
0.000 0.000 5.361
Dy Zr
6 8
Direct
0.094 0.465 0.250
0.371 0.906 0.250
0.465 0.371 0.750
0.535 0.629 0.250
0.629 0.094 0.750
0.906 0.535 0.750
0.051 0.226 0.750
0.175 0.949 0.750
0.226 0.175 0.250
0.333 0.667 0.750
0.667 0.333 0.250
0.774 0.825 0.750
0.825 0.051 0.250
0.949 0.774 0.250
```

SG: No. 176
V, Å³ per atom: 26.36

<b>
The following is a DFT calculation (PBE) of a geometry-optimized Dy3Zr4 structure.

```
Dy3Zr4
1.0
8.953 0.000 0.000
-4.477 7.754 0.000
0.000 0.000 5.319
Dy Zr
6 8
Direct
0.055 0.255 0.250
0.199 0.945 0.250
0.255 0.199 0.750
0.745 0.801 0.250
0.801 0.055 0.750
0.945 0.745 0.750
0.106 0.497 0.750
0.333 0.667 0.250
0.391 0.894 0.750
0.497 0.391 0.250
0.503 0.609 0.750
0.609 0.106 0.250
0.667 0.333 0.750
0.894 0.503 0.250
```

SG: No. 176
V, Å³ per atom: 26.38

Quick look at relative energies in kJ/mol of atoms: <a> 0.6; <b> 0.0.

<a>
The following is a DFT calculation (PBE) of a geometry-optimized Er2F structure.

```
Er2F
1.0
0.000 5.155 5.155
5.155 0.000 5.155
5.155 5.155 0.000
Er F
4 2
Direct
0.000 0.000 0.000
0.000 0.000 0.500
0.000 0.500 0.000
0.500 0.000 0.000
0.125 0.125 0.125
0.875 0.875 0.875
```

SG: No. 227
V, Å³ per atom: 45.67

<b>
The following is a DFT calculation (PBE) of a geometry-optimized Er2F structure.

```
Er2F
1.0
5.830 0.000 0.000
0.000 5.830 0.000
0.000 0.000 3.696
Er F
4 2
Direct
0.208 0.208 0.000
0.292 0.708 0.500
0.708 0.292 0.500
0.792 0.792 0.000
0.000 0.000 0.500
0.500 0.500 0.000
```

SG: No. 136
V, Å³ per atom: 20.93

Quick look at relative energies in kJ/mol of atoms: <a> 102.4; <b> 0.0.

<a>
The following is a DFT calculation (PBE) of a geometry-optimized Gd3Er3FeTe2 structure.

```
Gd3Er3FeTe2
1.0
8.299 0.000 0.000
-4.150 7.187 0.000
0.000 0.000 3.982
Gd Er Fe Te
3 3 1 2
Direct
0.000 0.604 0.000
0.396 0.396 0.000
0.604 0.000 0.000
0.000 0.232 0.500
0.232 0.000 0.500
0.768 0.768 0.500
0.000 0.000 0.000
0.333 0.667 0.500
0.667 0.333 0.500
```

SG: No. 189
V, Å³ per atom: 26.39

<b>
The following is a DFT calculation (PBE) of a geometry-optimized Gd3Er3FeTe2 structure.

```
Gd3Er3FeTe2
1.0
8.372 0.000 0.000
-4.186 7.250 0.000
0.000 0.000 3.935
Gd Er Fe Te
3 3 1 2
Direct
0.000 0.239 0.000
0.239 0.000 0.000
0.761 0.761 0.000
0.000 0.601 0.500
0.399 0.399 0.500
0.601 0.000 0.500
0.000 0.000 0.500
0.333 0.667 0.000
0.667 0.333 0.000
```

SG: No. 189
V, Å³ per atom: 26.54

Quick look at relative energies in kJ/mol of atoms: <a> 0.0; <b> 6.3.

<a>
The following is a DFT calculation (PBE) of a geometry-optimized Er3FeGe3 structure.

```
Er3FeGe3
1.0
2.025 -5.217 0.000
2.025 5.217 0.000
0.000 0.000 13.380
Er Fe Ge
6 2 6
Direct
0.004 0.996 0.750
0.288 0.712 0.600
0.288 0.712 0.900
0.712 0.288 0.100
0.712 0.288 0.400
0.996 0.004 0.250
0.000 0.000 0.000
0.000 0.000 0.500
0.274 0.726 0.250
0.431 0.569 0.091
0.431 0.569 0.409
0.569 0.431 0.591
0.569 0.431 0.909
0.726 0.274 0.750
```

SG: No. 63
V, Å³ per atom: 20.19

<b>
The following is a DFT calculation (PBE) of a geometry-optimized Er3FeGe3 structure.

```
Er3FeGe3
1.0
5.290 -2.091 0.000
5.290 2.091 0.000
-4.877 0.000 12.785
Er Fe Ge
6 2 6
Direct
0.025 0.025 0.381
0.098 0.098 0.919
0.246 0.246 0.231
0.754 0.754 0.769
0.902 0.902 0.081
0.975 0.975 0.619
0.255 0.255 0.586
0.745 0.745 0.414
0.357 0.357 0.454
0.375 0.375 0.925
0.452 0.452 0.756
0.548 0.548 0.244
0.625 0.625 0.075
0.643 0.643 0.546
```

SG: No. 12
V, Å³ per atom: 20.20

Quick look at relative energies in kJ/mol of atoms: <a> 6.1; <b> 0.0.

<a>
The following is a DFT calculation (PBE) of a geometry-optimized KErFeS3 structure.

```
KErFeS3
1.0
8.723 0.000 0.000
0.000 3.920 0.000
-2.820 0.000 8.815
K Er Fe S
2 2 2 6
Direct
0.206 0.250 0.234
0.794 0.750 0.766
0.334 0.750 0.853
0.666 0.250 0.147
0.076 0.250 0.593
0.924 0.750 0.407
0.113 0.250 0.847
0.201 0.750 0.535
0.456 0.750 0.156
0.544 0.250 0.844
0.799 0.250 0.465
0.887 0.750 0.153
```

SG: No. 11
V, Å³ per atom: 25.12

<b>
The following is a DFT calculation (PBE) of a geometry-optimized KErFeS3 structure.

```
KErFeS3
1.0
1.967 -7.089 0.000
1.967 7.089 0.000
0.000 0.000 10.330
K Er Fe S
2 2 2 6
Direct
0.243 0.757 0.750
0.757 0.243 0.250
0.500 0.500 0.000
0.500 0.500 0.500
0.033 0.967 0.250
0.967 0.033 0.750
0.123 0.877 0.067
0.123 0.877 0.433
0.439 0.561 0.250
0.561 0.439 0.750
0.877 0.123 0.567
0.877 0.123 0.933
```

SG: No. 63
V, Å³ per atom: 24.01

Quick look at relative energies in kJ/mol of atoms: <a> 0.0; <b> 1.6.

<a>
The following is a DFT calculation (PBE) of a geometry-optimized LiErFe structure.

```
LiErFe
1.0
0.000 3.153 3.153
3.153 0.000 3.153
3.153 3.153 0.000
Li Er Fe
1 1 1
Direct
0.000 0.000 0.000
0.500 0.500 0.500
0.750 0.750 0.750
```

SG: No. 216
V, Å³ per atom: 20.90

<b>
The following is a DFT calculation (PBE) of a geometry-optimized LiErFe structure.

```
LiErFe
1.0
0.000 3.195 3.195
3.195 0.000 3.195
3.195 3.195 0.000
Li Er Fe
1 1 1
Direct
0.000 0.000 0.000
0.750 0.750 0.750
0.500 0.500 0.500
```

SG: No. 216
V, Å³ per atom: 21.73

Quick look at relative energies in kJ/mol of atoms: <a> 0.0; <b> 32.8.

<a>
The following is a DFT calculation (PBE) of a geometry-optimized ErLuScFeSi3 structure.

```
ErLuScFeSi3
1.0
5.107 -2.033 0.000
5.107 2.033 0.000
-4.908 0.000 12.230
Er Lu Sc Fe Si
2 2 2 2 6
Direct
0.018 0.018 0.376
0.982 0.982 0.624
0.103 0.103 0.920
0.897 0.897 0.080
0.241 0.241 0.229
0.759 0.759 0.771
0.255 0.255 0.585
0.745 0.745 0.415
0.355 0.355 0.454
0.383 0.383 0.923
0.446 0.446 0.759
0.554 0.554 0.241
0.617 0.617 0.077
0.645 0.645 0.546
```

SG: No. 12
V, Å³ per atom: 18.14

<b>
The following is a DFT calculation (PBE) of a geometry-optimized ErLuScFeSi3 structure.

```
ErLuScFeSi3
1.0
5.099 -2.023 0.000
5.099 2.023 0.000
-4.607 0.000 12.270
Er Lu Sc Fe Si
2 2 2 2 6
Direct
0.102 0.102 0.417
0.898 0.898 0.583
0.250 0.250 0.734
0.750 0.750 0.266
0.027 0.027 0.883
0.973 0.973 0.117
0.250 0.250 0.083
0.750 0.750 0.917
0.364 0.364 0.960
0.387 0.387 0.423
0.446 0.446 0.252
0.554 0.554 0.748
0.613 0.613 0.577
0.636 0.636 0.040
```

SG: No. 12
V, Å³ per atom: 18.08

Quick look at relative energies in kJ/mol of atoms: <a> 1.0; <b> 0.0.

<a>
The following is a DFT calculation (PBE) of a geometry-optimized Er3Lu3FeTe2 structure.

```
Er3Lu3FeTe2
1.0
8.141 0.000 0.000
-4.071 7.051 0.000
0.000 0.000 3.938
Er Lu Fe Te
3 3 1 2
Direct
0.000 0.387 0.000
0.387 0.000 0.000
0.613 0.613 0.000
0.000 0.767 0.500
0.233 0.233 0.500
0.767 0.000 0.500
0.000 0.000 0.000
0.333 0.667 0.500
0.667 0.333 0.500
```

SG: No. 189
V, Å³ per atom: 25.11

<b>
The following is a DFT calculation (PBE) of a geometry-optimized Er3Lu3FeTe2 structure.

```
Er3Lu3FeTe2
1.0
8.164 0.000 0.000
-4.082 7.070 0.000
0.000 0.000 3.928
Er Lu Fe Te
3 3 1 2
Direct
0.000 0.765 0.000
0.235 0.235 0.000
0.765 0.000 0.000
0.000 0.387 0.500
0.387 0.000 0.500
0.613 0.613 0.500
0.000 0.000 0.500
0.333 0.667 0.000
0.667 0.333 0.000
```

SG: No. 189
V, Å³ per atom: 25.19

Quick look at relative energies in kJ/mol of atoms: <a> 0.0; <b> 4.4.

<a>
The following is a DFT calculation (PBE) of a geometry-optimized ErFeMo structure.

```
ErFeMo
1.0
0.000 3.046 3.046
3.046 0.000 3.046
3.046 3.046 0.000
Er Fe Mo
1 1 1
Direct
0.000 0.000 0.000
0.250 0.250 0.250
0.500 0.500 0.500
```

SG: No. 216
V, Å³ per atom: 18.84

<b>
The following is a DFT calculation (PBE) of a geometry-optimized ErFeMo structure.

```
ErFeMo
1.0
0.000 3.165 3.165
3.165 0.000 3.165
3.165 3.165 0.000
Er Fe Mo
1 1 1
Direct
0.000 0.000 0.000
0.750 0.750 0.750
0.250 0.250 0.250
```

SG: No. 216
V, Å³ per atom: 21.13

Quick look at relative energies in kJ/mol of atoms: <a> 0.0; <b> 104.1.